Sr2TcPd (PBE-GGA, relaxed); total magnetization = 0.65 μB per atom; E_tot = -16.58 eV per cell; symmetry = F-43m, No. 216
1.0
0.0000 3.5910 3.5910
3.5910 0.0000 3.5910
3.5910 3.5910 0.0000
Pd Sr Tc
1 2 1
Direct
0.0000 0.0000 0.0000
0.5000 0.5000 0.5000
0.7500 0.7500 0.7500
0.2500 0.2500 0.2500

=====

SrThPd (PBE-GGA, relaxed); total magnetization = 0.00 μB per atom; E_tot = -14.53 eV per cell; symmetry = F-43m, No. 216
1.0
0.0000 3.6098 3.6098
3.6098 0.0000 3.6098
3.6098 3.6098 0.0000
Pd Sr Th
1 1 1
Direct
0.0000 0.0000 0.0000
0.2500 0.2500 0.2500
0.7500 0.7500 0.7500

=====

Sr3Tl4Pd4 (PBE-GGA, relaxed); E_tot = -40.67 eV per cell; symmetry = Immm, No. 71
1.0
3.2774 7.4990 3.6747
-4.2398 7.6863 -1.8506
0.2095 -8.1651 3.7103
Pd Sr Tl
4 3 4
Direct
0.8249 0.5000 0.3249
0.7176 0.2176 0.5000
0.2824 0.7824 0.5000
0.1751 0.5000 0.6751
0.1234 0.1234 0.0000
0.8766 0.8766 0.0000
0.5000 0.0000 0.5000
0.5303 0.3317 0.1986
0.8669 0.6683 0.1986
0.1331 0.3317 0.8014
0.4697 0.6683 0.8014

=====

SrTlPd4 (PBE-GGA, relaxed); E_tot = -27.50 eV per cell; symmetry = F-43m, No. 216
1.0
0.0000 3.8823 3.8823
3.8823 0.0000 3.8823
3.8823 3.8823 0.0000
Pd Sr Tl
4 1 1
Direct
0.3745 0.3745 0.3745
0.3745 0.8765 0.3745
0.8765 0.3745 0.3745
0.3745 0.3745 0.8765
0.7500 0.7500 0.7500
0.0000 0.0000 0.0000